# AcZnSi2 | Alexandria via LeMat-Bulk | GGA-PBE | optimized geometry
data_AcZnSi2
_cell_length_a 14.2743
_cell_length_b 4.3826
_cell_length_c 11.0173
_cell_angle_alpha 90.00
_cell_angle_beta 90.00
_cell_angle_gamma 90.00
_symmetry_space_group_name_H-M 'P n m a'
_symmetry_Int_Tables_number 62
_symmetry_space_group_name_Hall '-P 2ac 2n'
loop_
_atom_site_label
_atom_site_fract_x
_atom_site_fract_y
_atom_site_fract_z
Ac1 0.0516 0.2500 0.2500
Ac2 0.1981 0.7500 0.5204
Zn1 0.0589 0.2500 0.9398
Zn2 0.1992 0.7500 0.8190
Si1 0.0248 0.2500 0.5389
Si2 0.1156 0.2500 0.7203
Si3 0.1240 0.7500 0.0315
Si4 0.2154 0.7500 0.2226
# Energy above the lowest structure with this stoichiometry in eV per formula unit: 0.00
# Raw formation energy in meV/atom: -416
# V in Å³ per cell: 689
# Total magnetization in μB/cell: 0.00

---

# PaSnSb2Au2 | Alexandria via LeMat-Bulk | GGA-PBE | optimized geometry
data_PaSnSb2Au2
_cell_length_a 6.1523
_cell_length_b 6.3554
_cell_length_c 8.1729
_cell_angle_alpha 90.00
_cell_angle_beta 110.38
_cell_angle_gamma 90.00
_symmetry_space_group_name_H-M 'P 1 21/m 1'
_symmetry_Int_Tables_number 11
_symmetry_space_group_name_Hall '-P 2yb'
loop_
_atom_site_label
_atom_site_fract_x
_atom_site_fract_y
_atom_site_fract_z
Pa1 0.2190 0.2500 0.0071
Sn1 0.2697 0.2500 0.6331
Sb1 0.2847 0.7500 0.9907
Sb2 0.4335 0.7500 0.5990
Au1 0.1190 0.5034 0.3003
# Raw formation energy in meV/atom: -176
# V in Å³ per cell: 300
# Total magnetization in μB/cell: 0.00

---

# GdZn2Sn | Alexandria via LeMat-Bulk | GGA-PBE | optimized geometry
data_GdZn2Sn
_cell_length_a 4.3873
_cell_length_b 4.3873
_cell_length_c 4.4375
_cell_angle_alpha 90.00
_cell_angle_beta 90.00
_cell_angle_gamma 90.00
_symmetry_space_group_name_H-M 'P 4/m m m'
_symmetry_Int_Tables_number 123
_symmetry_space_group_name_Hall '-P 4 2'
loop_
_atom_site_label
_atom_site_fract_x
_atom_site_fract_y
_atom_site_fract_z
Gd1 0.0000 0.0000 0.0000
Zn1 0.0000 0.5000 0.5000
Sn1 0.5000 0.5000 0.0000
# Formation energy from the elements in meV per atom: -381
# V in Å³ per cell: 85
# Total magnetization in μB/cell: 7.06

---

Q: Which of these has the highest total magnetization?
A: GdZn2Sn